Here is a geometry-optimized IrWOF2 structure from the Alexandria database. Energies are from PBE+U.

Output
Relative energy among the computed polymorphs = 0.0000 eV per atom
Calculated volume = 70.0 Å³ per cell
VASP energy = -5.16 eV/atom

Cell and atoms, written as CIF:
```
data_IrWOF2
_cell_length_a 4.249
_cell_length_b 4.249
_cell_length_c 3.877
_cell_angle_alpha 90.00
_cell_angle_beta 90.00
_cell_angle_gamma 90.00
_space_group_name_H-M_alt 'P 4/m m m'
_space_group_IT_number 123
_space_group_name_Hall '-P 4 2'
loop_
_atom_site_label
_atom_site_type_symbol
_atom_site_fract_x
_atom_site_fract_y
_atom_site_fract_z
Ir1 Ir 0.000 0.000 0.000
W1 W 0.500 0.500 0.500
O1 O 0.500 0.500 0.000
F1 F 0.000 0.500 0.500
```